[1]
Computed, not measured: crystalline Nd4Sm2Dy at its relaxed geometry at the PBE level of DFT.

a = 6.182 Å, b = 13.148 Å, c = 6.036 Å
α = 90.00°, β = 90.00°, γ = 90.00°
Space group Cmmm (No. 65)
Asymmetric unit:
Nd (0.000, 0.137, 0.000) [4 per cell]
Nd (0.000, 0.309, 0.500) [4 per cell]
Sm (0.000, 0.390, 0.000) [4 per cell]
Dy (0.000, 0.000, 0.500) [2 per cell]

Summary:
- Size of the total moment: 0.0 μB/f.u.
- Polymorph energy (0 for the lowest one): 253 meV per atom
- Calculated formation energy: 0.432 eV per atom
- Raw total energy: -4.299 eV per atom
- Density: 7.0 g/cm3

***

[2]
Computed, not measured: crystalline Nd3Sm2Dy2 at its relaxed geometry at the PBE level of DFT.

a = 17.742 Å, b = 3.546 Å, c = 8.662 Å
α = 90.00°, β = 118.92°, γ = 90.00°
Space group C2/m (No. 12)
Asymmetric unit:
Nd (0.000, 0.000, 0.000) [2 per cell]
Nd (0.213, 0.000, 0.298) [4 per cell]
Sm (0.065, 0.500, 0.411) [4 per cell]
Dy (0.147, 0.000, 0.829) [4 per cell]

Summary:
- Size of the total moment: 0.0 μB/f.u.
- Polymorph energy (0 for the lowest one): 96 meV per atom
- Calculated formation energy: 0.112 eV per atom
- Raw total energy: -4.595 eV per atom
- Density: 7.4 g/cm3

***

[3]
Computed, not measured: crystalline NdSmDy2 at its relaxed geometry at the PBE level of DFT.

a = 3.6002 Å, b = 3.6002 Å, c = 35.0789 Å
α = 90.00°, β = 90.00°, γ = 120.00°
Space group R-3m (No. 166, hexagonal axes)
Asymmetric unit:
Nd (0.0000, 0.0000, 0.0000) [3 per cell]
Sm (0.0000, 0.0000, 0.5000) [3 per cell]
Dy (0.0000, 0.0000, 0.2496) [6 per cell]

Summary:
- Size of the total moment: 0.0 μB/f.u.
- Polymorph energy (0 for the lowest one): 17 meV per atom
- Calculated formation energy: 0.013 eV per atom
- Raw total energy: -4.660 eV per atom
- Density: 7.8 g/cm3

***

Copy entry 1 word for word.
Computed, not measured: crystalline Nd4Sm2Dy at its relaxed geometry at the PBE level of DFT.

a = 6.182 Å, b = 13.148 Å, c = 6.036 Å
α = 90.00°, β = 90.00°, γ = 90.00°
Space group Cmmm (No. 65)
Asymmetric unit:
Nd (0.000, 0.137, 0.000) [4 per cell]
Nd (0.000, 0.309, 0.500) [4 per cell]
Sm (0.000, 0.390, 0.000) [4 per cell]
Dy (0.000, 0.000, 0.500) [2 per cell]

Summary:
- Size of the total moment: 0.0 μB/f.u.
- Polymorph energy (0 for the lowest one): 253 meV per atom
- Calculated formation energy: 0.432 eV per atom
- Raw total energy: -4.299 eV per atom
- Density: 7.0 g/cm3